6
Lattice="-0.662 2.371 -3.045 1.454 -2.708 -2.425 -8.138 -3.169 1.820" Properties=species:S:1:pos:R:3 comment="SCAN ThGeS, single point on PBEsol structure" n_ef_per_ev_cell=1.25 formation_energy_uncorrected_ev_per_atom=-1.5240 spacegroup="I4/mmm (139)" vol_a3_per_atom=21.67 magnetic_moment_mub_per_cell=0.00 pbc="T T T"
S -2.497 -1.416 -3.077
S -4.849 -2.090 -0.573
Th -5.156 -2.562 -3.391
Th -2.189 -0.944 -0.259
Ge -0.331 1.186 -1.522
Ge 0.727 -1.354 -1.213